CaLa12Er7 | GGA-PBE | relaxed

Cell: 10.142 10.142 10.142 Å, 109.47 109.47 109.47°
Positions (direct):
Ca (0.000, 0.000, 0.000)
La (0.073, 0.296, 0.777)
La (0.223, 0.519, 0.296)
La (0.223, 0.927, 0.704)
La (0.296, 0.223, 0.519)
La (0.296, 0.777, 0.073)
La (0.481, 0.704, 0.777)
La (0.519, 0.296, 0.223)
La (0.704, 0.223, 0.927)
La (0.704, 0.777, 0.481)
La (0.777, 0.073, 0.296)
La (0.777, 0.481, 0.704)
La (0.927, 0.704, 0.223)
Er (0.000, 0.000, 0.500)
Er (0.000, 0.500, 0.000)
Er (0.000, 0.500, 0.500)
Er (0.500, 0.000, 0.000)
Er (0.500, 0.000, 0.500)
Er (0.500, 0.500, 0.000)
Er (0.500, 0.500, 0.500)

Computed properties:
Fermi-level density of states (states/eV/f.u.): 26.47
Formation energy from the elements (eV/atom): 0.596
Volume (A^3/atom): 40.2
Magnetic moment (Bohr magnetons per cell): 0.1
Calculated density (g cm⁻³): 5.95



Ca2LaEr | GGA-PBE | relaxed

Cell: 13.430 13.430 13.430 Å, 15.41 15.41 15.41°
Positions (direct):
Ca (0.090, 0.090, 0.090)
Ca (0.910, 0.910, 0.910)
La (0.000, 0.000, 0.000)
Er (0.500, 0.500, 0.500)

Computed properties:
Fermi-level density of states (states/eV/f.u.): 7.12
Formation energy from the elements (eV/atom): 0.200
Volume (A^3/atom): 37.2
Magnetic moment (Bohr magnetons per cell): 0.7
ΔE to the lowest computed polymorph (meV/atom): 91
Calculated density (g cm⁻³): 4.31



> Which value of Fermi-level density of states does entry 2 give?

7.12 states/eV/f.u.



> Look up the calculated density of the first one.

5.95 g cm⁻³



> Which of these has the lowest calculated density?

Ca2LaEr